[1]
## Re3TcPb (GGA-PBE)

Data for Re3TcPb after structural relaxation.

a b c (Å): 4.7505 4.7505 4.7505
angles (deg): 90.00 90.00 90.00
Last column: nearest neighbours and their distance in Å.
Sites, in units of the cell vectors:
Re (0.0000, 0.0000, 0.5000)  2 Tc 2.38
Re (0.0000, 0.5000, 0.0000)  2 Tc 2.38
Re (0.5000, 0.0000, 0.0000)  2 Tc 2.38
Tc (0.0000, 0.0000, 0.0000)  6 Re 2.38
Pb (0.5000, 0.5000, 0.5000)  12 Re 3.36

## Properties
symmetry = Pm-3m, No. 221

=====

[2]
## Re2TcPb (GGA-PBE)

Data for Re2TcPb after structural relaxation.

a b c (Å): 4.6857 4.6857 3.0771
angles (deg): 90.00 90.00 90.00
Last column: nearest neighbours and their distance in Å.
Sites, in units of the cell vectors:
Re (0.0000, 0.5000, 0.0000)  4 Pb 2.80, 4 Tc 2.80, 2 Re 3.08
Re (0.5000, 0.0000, 0.0000)  4 Pb 2.80, 4 Tc 2.80, 2 Re 3.08
Tc (0.0000, 0.0000, 0.5000)  8 Re 2.80, 2 Tc 3.08
Pb (0.5000, 0.5000, 0.5000)  8 Re 2.80, 2 Pb 3.08

## Properties
symmetry = P4/mmm, No. 123

=====

[3]
## Re2TcPb (GGA-PBE)

Data for Re2TcPb after structural relaxation.

a b c (Å): 5.9717 5.9717 5.9717
angles (deg): 101.60 101.60 126.72
Last column: nearest neighbours and their distance in Å.
Sites, in units of the cell vectors:
Re (0.0709, 0.6250, 0.9459)  2 Tc 2.49
Re (0.3750, 0.3209, 0.4459)  2 Tc 2.49
Re (0.6791, 0.1250, 0.0541)  2 Tc 2.49
Re (0.8750, 0.9291, 0.5541)  2 Tc 2.49
Tc (0.0000, 0.0000, 0.0000)  4 Re 2.49, 2 Pb 2.68
Tc (0.7500, 0.2500, 0.5000)  4 Re 2.49, 2 Pb 2.68
Pb (0.2500, 0.7500, 0.5000)  2 Tc 2.68
Pb (0.5000, 0.5000, 0.0000)  2 Tc 2.68

## Properties
symmetry = I-42d, No. 122

=====

[4]
## ReTc2Pb (GGA-PBE)

Data for ReTc2Pb after structural relaxation.

a b c (Å): 2.9684 2.9684 7.7267
angles (deg): 90.00 90.00 90.00
Last column: nearest neighbours and their distance in Å.
Sites, in units of the cell vectors:
Re (0.0000, 0.0000, 0.0000)  8 Tc 2.69, 4 Re 2.97
Tc (0.5000, 0.5000, 0.2182)  4 Re 2.69, 4 Tc 2.97
Tc (0.5000, 0.5000, 0.7818)  4 Re 2.69, 4 Tc 2.97
Pb (0.0000, 0.0000, 0.5000)  4 Pb 2.97, 8 Tc 3.02

## Properties
symmetry = P4/mmm, No. 123

=====

no.,E_form (eV per atom),D(E_F) (states/eV/cell)
1,1.99,5.80
2,1.02,4.95
3,1.17,10.44
4,0.46,5.88